## Os2C3N6 (PBE)

Data for a geometry-optimized Os2C3N6 structure.

Properties
E_form (uncorrected) = 468 meV/atom
DFT total energy = -94.93 eV/f.u.
Excess energy over the best structure of this formula in the dataset = 0.0000 eV per atom
DOS at the Fermi energy = 9.76 states/eV/cell

a = 9.5005 Å, b = 5.3015 Å, c = 10.1335 Å
α = 90.00°, β = 107.36°, γ = 90.00°
Closest atoms and distances in Å follow each position.
Space group C2/c (No. 15)
Inequivalent atoms, fractional coordinates:
Os (0.0759, 0.2245, 0.0018)  6 N 2.02-2.15
C (0.0000, 0.4384, 0.2500)  2 N 1.25
C (0.1744, 0.0872, 0.7640)  2 N 1.23-1.25
N (0.0253, 0.4402, 0.3779)  1 C 1.25
N (0.1107, 0.0606, 0.6403)  1 C 1.23
N (0.2222, 0.1248, 0.8910)  1 C 1.25